[1]
# MgAl4Ge

MgAl4Ge after structural relaxation (GGA-PBE, Alexandria).

a = 5.402 Å, b = 5.402 Å, c = 5.402 Å
α = 60.00°, β = 60.00°, γ = 60.00°
Fractional coordinates of all 6 atoms:
Mg  0.250  0.250  0.250
Al  0.625  0.625  0.625
Al  0.625  0.126  0.625
Ge  0.000  0.000  0.000
Al  0.625  0.625  0.126
Al  0.126  0.625  0.625

Results
ΔH_f (0 K) = 124.1 meV per atom
space-group type = F-43m, No. 216

[2]
# Sr2LaBe

Sr2LaBe after structural relaxation (GGA-PBE, Alexandria).

a = 11.398 Å, b = 11.398 Å, c = 11.398 Å
α = 20.10°, β = 20.10°, γ = 20.10°
Fractional coordinates of all 4 atoms:
Sr  0.981  0.981  0.981
Be  0.250  0.250  0.250
La  0.750  0.750  0.750
Sr  0.519  0.519  0.519

Results
ΔH_f (0 K) = 475.4 meV per atom
space-group type = R-3m, No. 166

[3]
# LaPmY2Ho5

LaPmY2Ho5 after structural relaxation (GGA-PBE, Alexandria).

a = 8.847 Å, b = 8.847 Å, c = 9.813 Å
α = 116.79°, β = 116.79°, γ = 90.00°
Fractional coordinates of all 18 atoms:
La  0.250  0.250  0.500
Ho  0.000  0.000  0.000
Ho  0.662  0.162  0.732
Ho  0.571  0.662  0.732
Ho  0.071  0.571  0.732
Ho  0.162  0.071  0.732
Y  0.384  0.884  0.000
Ho  0.929  0.429  0.268
Y  0.616  0.116  0.000
Ho  0.838  0.929  0.268
Ho  0.429  0.338  0.268
Y  0.884  0.616  0.000
Ho  0.338  0.838  0.268
Ho  0.500  0.500  0.000
Pm  0.250  0.750  0.500
Y  0.116  0.384  0.000
La  0.750  0.750  0.500
Pm  0.750  0.250  0.500

Results
ΔH_f (0 K) = 285.0 meV per atom
space-group type = I4/mcm, No. 140

[4]
# MgZrBe

MgZrBe after structural relaxation (GGA-PBE, Alexandria).

a = 4.624 Å, b = 4.624 Å, c = 5.663 Å
α = 90.00°, β = 90.00°, γ = 120.00°
Fractional coordinates of all 6 atoms:
Be  0.000  0.000  0.000
Zr  0.333  0.667  0.750
Zr  0.667  0.333  0.250
Be  0.000  0.000  0.500
Mg  0.667  0.333  0.750
Mg  0.333  0.667  0.250

Results
ΔH_f (0 K) = 432.3 meV per atom
polymorph energy (0 for the lowest one) = 0.385 eV per atom
space-group type = P6_3/mmc, No. 194

[5]
# TiTlI2N

TiTlI2N after structural relaxation (GGA-PBE, Alexandria).

a = 6.217 Å, b = 6.217 Å, c = 4.022 Å
α = 90.00°, β = 90.00°, γ = 90.00°
Fractional coordinates of all 5 atoms:
I  0.500  0.000  0.000
I  0.000  0.500  0.000
N  0.000  0.000  0.500
Tl  0.000  0.000  0.000
Ti  0.500  0.500  0.500

Results
polymorph energy (0 for the lowest one) = 1.428 eV per atom
space-group type = P4/mmm, No. 123
raw formation energy = 1060 meV per atom

[6]
# TbSc3Ag4

TbSc3Ag4 after structural relaxation (GGA-PBE, Alexandria).

a = 3.484 Å, b = 3.484 Å, c = 13.984 Å
α = 90.00°, β = 90.00°, γ = 90.00°
Fractional coordinates of all 8 atoms:
Sc  0.500  0.500  0.741
Ag  0.000  0.000  0.621
Ag  0.000  0.000  0.379
Ag  0.000  0.000  0.142
Sc  0.500  0.500  0.259
Ag  0.000  0.000  0.858
Tb  0.500  0.500  0.000
Sc  0.500  0.500  0.500

Results
ΔH_f (0 K) = -278.2 meV per atom
space-group type = P4/mmm, No. 123

[7]
# Ba2Li6Pt3

Ba2Li6Pt3 after structural relaxation (GGA-PBE, Alexandria).

a = 4.310 Å, b = 8.094 Å, c = 8.094 Å
α = 120.00°, β = 90.00°, γ = 90.00°
Fractional coordinates of all 11 atoms:
Ba  0.000  0.333  0.667
Li  0.500  0.000  0.273
Pt  0.500  0.374  0.374
Pt  0.500  0.000  0.626
Li  0.000  0.206  0.206
Ba  0.000  0.667  0.333
Pt  0.500  0.626  0.000
Li  0.000  0.794  0.000
Li  0.500  0.727  0.727
Li  0.000  0.000  0.794
Li  0.500  0.273  0.000

Results
ΔH_f (0 K) = -416.1 meV per atom
space-group type = P-62m, No. 189

[8]
# LaTm2Ru

LaTm2Ru after structural relaxation (GGA-PBE, Alexandria).

a = 3.417 Å, b = 3.417 Å, c = 9.118 Å
α = 90.00°, β = 90.00°, γ = 90.00°
Fractional coordinates of all 4 atoms:
La  0.500  0.500  0.500
Tm  0.000  0.000  0.176
Ru  0.500  0.500  0.000
Tm  0.000  0.000  0.824

Results
ΔH_f (0 K) = -286.7 meV per atom
polymorph energy (0 for the lowest one) = 0.034 eV per atom
space-group type = P4/mmm, No. 123

What did the fourth record say?
# MgZrBe

MgZrBe after structural relaxation (GGA-PBE, Alexandria).

a = 4.624 Å, b = 4.624 Å, c = 5.663 Å
α = 90.00°, β = 90.00°, γ = 120.00°
Fractional coordinates of all 6 atoms:
Be  0.000  0.000  0.000
Zr  0.333  0.667  0.750
Zr  0.667  0.333  0.250
Be  0.000  0.000  0.500
Mg  0.667  0.333  0.750
Mg  0.333  0.667  0.250

Results
ΔH_f (0 K) = 432.3 meV per atom
polymorph energy (0 for the lowest one) = 0.385 eV per atom
space-group type = P6_3/mmc, No. 194